(1)
Nd3Tm2Ga4 after structural relaxation. Source: Alexandria, functional PBE-GGA.

Computed properties:
Crystal system: monoclinic
Formation energy from the elements, eV/atom: -0.468

Unit cell a=4.4554 b=6.0167 c=9.5955 alpha=92.04 beta=90.00 gamma=111.73
Fractional positions:
Tm: 0.3184 0.6368 0.2317
Tm: 0.6816 0.3632 0.7683
Ga: 0.9188 0.8376 0.3922
Ga: 0.0812 0.1624 0.6078
Ga: 0.3016 0.6032 0.9288
Ga: 0.6984 0.3968 0.0712
Nd: 0.6200 0.2400 0.3814
Nd: 0.0000 0.0000 0.0000
Nd: 0.3800 0.7600 0.6186

(2)
Nd2TmGa after structural relaxation. Source: Alexandria, functional PBE-GGA.

Computed properties:
ΔE to the lowest computed polymorph, meV/atom: 0.0
Crystal system: monoclinic
Formation energy from the elements, eV/atom: -0.258

Unit cell a=3.6843 b=6.6790 c=9.9414 alpha=90.00 beta=90.00 gamma=106.00
Fractional positions:
Tm: 0.0578 0.1147 0.7500
Tm: 0.9422 0.8853 0.2500
Ga: 0.7402 0.4798 0.7500
Ga: 0.2598 0.5202 0.2500
Nd: 0.6344 0.2682 0.0503
Nd: 0.3656 0.7318 0.5503
Nd: 0.3656 0.7318 0.9497
Nd: 0.6344 0.2682 0.4497

(3)
NdTm3Ga3 after structural relaxation. Source: Alexandria, functional PBE-GGA.

Computed properties:
Crystal system: hexagonal
Formation energy from the elements, eV/atom: -0.439

Unit cell a=4.7622 b=9.1452 c=9.1452 alpha=120.00 beta=90.00 gamma=90.00
Fractional positions:
Tm: 0.7500 0.2537 0.0173
Tm: 0.2500 0.0173 0.7636
Tm: 0.2500 0.7463 0.9827
Tm: 0.7500 0.9827 0.2364
Tm: 0.7500 0.7636 0.7463
Tm: 0.2500 0.2364 0.2537
Ga: 0.7500 0.9411 0.5509
Ga: 0.2500 0.0589 0.4491
Ga: 0.7500 0.6098 0.0589
Ga: 0.2500 0.3902 0.9411
Ga: 0.7500 0.4491 0.3902
Ga: 0.2500 0.5509 0.6098
Nd: 0.7500 0.3333 0.6667
Nd: 0.2500 0.6667 0.3333

(4)
NdTmGa6 after structural relaxation. Source: Alexandria, functional PBE-GGA.

Computed properties:
Crystal system: hexagonal
Formation energy from the elements, eV/atom: -0.527

Unit cell a=4.6039 b=6.3204 c=6.3204 alpha=119.96 beta=90.00 gamma=90.00
Fractional positions:
Ga: 0.5000 0.8984 0.1016
Ga: 0.5000 0.8979 0.5463
Ga: 0.5000 0.4537 0.1021
Ga: 0.0000 0.6060 0.3940
Ga: 0.0000 0.0374 0.3936
Ga: 0.0000 0.6064 0.9626
Nd: 0.5000 0.4164 0.5836
Tm: 0.0000 0.0835 0.9165

(5)
Nd4TmGa2 after structural relaxation. Source: Alexandria, functional PBE-GGA.

Computed properties:
Crystal system: triclinic
Formation energy from the elements, eV/atom: -0.212

Unit cell a=7.3956 b=10.2709 c=9.8513 alpha=139.36 beta=106.58 gamma=94.17
Fractional positions:
Nd: 0.1464 0.8048 0.0708
Nd: 0.8644 0.7025 0.2270
Nd: 0.8439 0.1640 0.2747
Nd: 0.3872 0.1408 0.6867
Nd: 0.7538 0.7045 0.6828
Nd: 0.8957 0.1404 0.8473
Nd: 0.3844 0.5941 0.2263
Nd: 0.4041 0.5726 0.7984
Tm: 0.3512 0.2101 0.1986
Tm: 0.1940 0.7132 0.5872
Ga: 0.6162 0.9680 0.3683
Ga: 0.6938 0.3770 0.1823
Ga: 0.0291 0.2892 0.7017
Ga: 0.6858 0.3688 0.6478

(6)
NdTm2Ga6 after structural relaxation. Source: Alexandria, functional PBE-GGA.

Computed properties:
ΔE to the lowest computed polymorph, meV/atom: 0.0
Crystal system: hexagonal
Formation energy from the elements, eV/atom: -0.610

Unit cell a=4.1381 b=7.3029 c=7.3029 alpha=120.00 beta=90.00 gamma=90.00
Fractional positions:
Tm: 0.0000 0.3333 0.6667
Tm: 0.0000 0.6667 0.3333
Ga: 0.5000 0.0000 0.3351
Ga: 0.5000 0.6649 0.6649
Ga: 0.5000 0.3351 0.3351
Ga: 0.5000 0.0000 0.6649
Ga: 0.5000 0.3351 0.0000
Ga: 0.5000 0.6649 0.0000
Nd: 0.0000 0.0000 0.0000

(7)
NdTmGa3 after structural relaxation. Source: Alexandria, functional PBE-GGA.

Computed properties:
Crystal system: orthorhombic
Formation energy from the elements, eV/atom: -0.657

Unit cell a=4.1963 b=4.2683 c=12.9621 alpha=99.48 beta=90.00 gamma=90.00
Fractional positions:
Nd: 0.7500 0.9258 0.8516
Nd: 0.2500 0.0742 0.1484
Ga: 0.7500 0.5244 0.0488
Ga: 0.2500 0.3784 0.7567
Ga: 0.7500 0.6216 0.2433
Ga: 0.2500 0.4756 0.9512
Ga: 0.7500 0.3213 0.6427
Ga: 0.2500 0.6787 0.3573
Tm: 0.2500 0.7959 0.5917
Tm: 0.7500 0.2041 0.4083

(8)
NdTmGa after structural relaxation. Source: Alexandria, functional PBE-GGA.

Computed properties:
ΔE to the lowest computed polymorph, meV/atom: 176.2
Crystal system: cubic
Formation energy from the elements, eV/atom: -0.230

Unit cell a=5.0093 b=5.0093 c=5.0093 alpha=60.00 beta=60.00 gamma=60.00
Fractional positions:
Nd: 0.0000 0.0000 0.0000
Tm: 0.5000 0.5000 0.5000
Ga: 0.2500 0.2500 0.2500